[1]
ErTm6Th: optimized geometry, PBE-GGA.

Structure (POSCAR):
```
ErTm6Th
1.0
-2.905 -4.015 -0.384
4.027 -2.914 0.006
-0.456 -0.610 9.833
Er Tm Th
1 6 1
Direct
0.000 0.000 0.000
0.500 0.500 0.000
0.500 0.500 0.500
0.500 0.000 0.251
0.500 0.000 0.749
0.000 0.500 0.251
0.000 0.500 0.749
0.000 0.000 0.500
```

Summary:
DOS(E_F): 1.5694 states/eV/atom
Total DFT energy (no corrections): -0.3541 Ry/atom
Excess energy over the best structure of this formula in the dataset: 0 meV/atom
Energy of formation from the pure elements: 34 meV/atom
SG: No. 123


[2]
KEu2Hg: optimized geometry, PBE-GGA.

Structure (POSCAR):
```
KEu2Hg
1.0
-0.332 1.927 -3.592
1.116 -1.895 -3.448
-11.419 -4.465 -3.669
Eu K Hg
2 1 1
Direct
0.107 0.107 0.679
0.893 0.893 0.321
0.000 0.000 0.000
0.500 0.500 0.500
```

Summary:
DOS(E_F): 4.6662 states/eV/atom
Total DFT energy (no corrections): -0.4094 Ry/atom
Energy of formation from the pure elements: -83 meV/atom
SG: No. 166


[3]
Rb3Ce3NiSe8: optimized geometry, PBE-GGA.

Structure (POSCAR):
```
Rb3Ce3NiSe8
1.0
-5.554 5.139 3.647
-2.350 -4.815 -6.469
1.333 -4.416 8.254
Rb Ce Ni Se
3 3 1 8
Direct
0.000 0.000 0.000
0.000 0.500 0.000
0.500 0.500 0.000
0.500 0.000 0.500
0.500 0.500 0.500
0.000 0.500 0.500
0.000 0.000 0.500
0.266 0.533 0.299
0.734 0.467 0.701
0.785 0.570 0.321
0.215 0.430 0.679
0.785 0.036 0.321
0.215 0.964 0.679
0.251 0.036 0.321
0.749 0.964 0.679
```

Summary:
DOS(E_F): 0.9112 states/eV/atom
Energy relative to the elements, uncorrected: -1327 meV per atom
Total DFT energy (no corrections): -0.3639 Ry/atom
SG: No. 166